A plane-wave DFT calculation with PBE was carried out for crystalline CrCd5 at its relaxed geometry.

Results
The density of states at the Fermi level comes out at 0.35 states/eV per atom. The formation energy is 0.300 eV/atom. The value obtained for the volume is 131.7 Å³ per cell. The calculation puts the final energy at -2.066 eV/atom.

Unit cell a=5.7113 b=5.7113 c=5.7113 alpha=60.00 beta=60.00 gamma=60.00
Atoms (fractional coordinates):
Cr  0.0000  0.0000  0.0000
Cd  0.1240  0.6253  0.6253
Cd  0.2500  0.2500  0.2500
Cd  0.6253  0.1240  0.6253
Cd  0.6253  0.6253  0.1240
Cd  0.6253  0.6253  0.6253